DFT (PBE) results for La2MoPd2 after structural relaxation.

Cell lengths 7.6358, 7.6358, 4.0859 Å; angles 90.00, 90.00, 90.00 degrees
With the nearest neighbours (Å) after each atom.
Space group P4/mbm (No. 127)
Asymmetric unit:
1 La 0.1793 0.3207 0.0000 x4  6 Pd 2.90-3.15
2 Mo 0.0000 0.0000 0.5000 x2  4 Pd 2.99
3 Pd 0.1301 0.6301 0.5000 x4  1 Pd 2.81, 6 La 2.90-3.15, 2 Mo 2.99

Summary:
Calculated volume, A^3/atom: 23.823
Energy of formation, eV/atom: -0.200